# PmGa5Ru, optimized geometry, DFT PBE-GGA
data_PmGa5Ru
_chemical_formula_sum 'Pm1 Ga5 Ru1'
_symmetry_space_group_name_H-M 'P 4/m m m'
_symmetry_Int_Tables_number 123
_symmetry_space_group_name_Hall '-P 4 2'
_cell_length_a 4.367
_cell_length_b 4.367
_cell_length_c 7.009
_cell_angle_alpha 90.00
_cell_angle_beta 90.00
_cell_angle_gamma 90.00
loop_
_atom_site_label
_atom_site_fract_x
_atom_site_fract_y
_atom_site_fract_z
Pm1 0.000 0.000 0.000
Ga1 0.000 0.500 0.311
Ga2 0.500 0.500 0.000
Ru1 0.000 0.000 0.500
# D(E_F)	2.96	states/eV/f.u.
# theoretical density	7387	kg/m3
# ΔE_f	-0.4908	eV per atom

---

# Pm3GaRu2, optimized geometry, DFT PBE-GGA
data_Pm3GaRu2
_chemical_formula_sum 'Pm6 Ga2 Ru4'
_symmetry_space_group_name_H-M 'I m m m'
_symmetry_Int_Tables_number 71
_symmetry_space_group_name_Hall '-I 2 2'
_cell_length_a 4.273
_cell_length_b 4.299
_cell_length_c 14.949
_cell_angle_alpha 90.00
_cell_angle_beta 90.00
_cell_angle_gamma 90.00
loop_
_atom_site_label
_atom_site_fract_x
_atom_site_fract_y
_atom_site_fract_z
Pm1 0.000 0.000 0.000
Pm2 0.000 0.500 0.180
Ga1 0.000 0.000 0.500
Ru1 0.000 0.500 0.375
# D(E_F)	3.72	states/eV/f.u.
# energy relative to the lowest polymorph listed for this composition	0	meV/atom
# theoretical density	8549	kg/m3
# ΔE_f	-0.2754	eV per atom

---

# Pm3Ga2Ru2, optimized geometry, DFT PBE-GGA
data_Pm3Ga2Ru2
_chemical_formula_sum 'Pm12 Ga8 Ru8'
_symmetry_space_group_name_H-M 'P b c m'
_symmetry_Int_Tables_number 57
_symmetry_space_group_name_Hall '-P 2c 2b'
_cell_length_a 5.679
_cell_length_b 7.885
_cell_length_c 14.005
_cell_angle_alpha 90.00
_cell_angle_beta 90.00
_cell_angle_gamma 90.00
loop_
_atom_site_label
_atom_site_fract_x
_atom_site_fract_y
_atom_site_fract_z
Pm1 0.122 0.239 0.250
Pm2 0.346 0.598 0.095
Ga1 0.127 0.250 0.000
Ga2 0.370 0.605 0.750
Ru1 0.144 0.533 0.594
# D(E_F)	5.65	states/eV/f.u.
# theoretical density	8225	kg/m3
# ΔE_f	-0.4917	eV per atom

---

# Pm2GaRu3, optimized geometry, DFT PBE-GGA
data_Pm2GaRu3
_chemical_formula_sum 'Pm6 Ga3 Ru9'
_symmetry_space_group_name_H-M 'R -3 m'
_symmetry_Int_Tables_number 166
_symmetry_space_group_name_Hall '-R 3 2"'
_cell_length_a 5.5267
_cell_length_b 5.5267
_cell_length_c 12.7516
_cell_angle_alpha 90.00
_cell_angle_beta 90.00
_cell_angle_gamma 120.00
loop_
_atom_site_label
_atom_site_fract_x
_atom_site_fract_y
_atom_site_fract_z
Pm1 0.0000 0.0000 0.1253
Ga1 0.0000 0.0000 0.5000
Ru1 0.0000 0.5000 0.0000
# D(E_F)	6.44	states/eV/f.u.
# energy relative to the lowest polymorph listed for this composition	0	meV/atom
# theoretical density	9789	kg/m3
# ΔE_f	-0.3404	eV per atom

---

# Pm12GaRu6, optimized geometry, DFT PBE-GGA
data_Pm12GaRu6
_chemical_formula_sum 'Pm24 Ga2 Ru12'
_symmetry_space_group_name_H-M 'I m -3'
_symmetry_Int_Tables_number 204
_symmetry_space_group_name_Hall '-I 2 2 3'
_cell_length_a 10.050
_cell_length_b 10.050
_cell_length_c 10.050
_cell_angle_alpha 90.00
_cell_angle_beta 90.00
_cell_angle_gamma 90.00
loop_
_atom_site_label
_atom_site_fract_x
_atom_site_fract_y
_atom_site_fract_z
Pm1 0.000 0.296 0.195
Ga1 0.000 0.000 0.000
Ru1 0.000 0.122 0.500
# D(E_F)	17.69	states/eV/f.u.
# energy relative to the lowest polymorph listed for this composition	0	meV/atom
# theoretical density	7905	kg/m3
# ΔE_f	-0.1979	eV per atom

---

# Pm5GaRu2, optimized geometry, DFT PBE-GGA
data_Pm5GaRu2
_chemical_formula_sum 'Pm20 Ga4 Ru8'
_symmetry_space_group_name_H-M 'I 4/m c m'
_symmetry_Int_Tables_number 140
_symmetry_space_group_name_Hall '-I 4 2c'
_cell_length_a 7.875
_cell_length_b 7.875
_cell_length_c 13.496
_cell_angle_alpha 90.00
_cell_angle_beta 90.00
_cell_angle_gamma 90.00
loop_
_atom_site_label
_atom_site_fract_x
_atom_site_fract_y
_atom_site_fract_z
Pm1 0.000 0.000 0.000
Pm2 0.162 0.338 0.137
Ga1 0.000 0.000 0.250
Ru1 0.139 0.361 0.500
# D(E_F)	7.54	states/eV/f.u.
# theoretical density	7912	kg/m3
# ΔE_f	-0.3215	eV per atom

---

# PmGa4Ru2, optimized geometry, DFT PBE-GGA
data_PmGa4Ru2
_chemical_formula_sum 'Pm1 Ga4 Ru2'
_symmetry_space_group_name_H-M 'P 4/m m m'
_symmetry_Int_Tables_number 123
_symmetry_space_group_name_Hall '-P 4 2'
_cell_length_a 4.172
_cell_length_b 4.172
_cell_length_c 7.266
_cell_angle_alpha 90.00
_cell_angle_beta 90.00
_cell_angle_gamma 90.00
loop_
_atom_site_label
_atom_site_fract_x
_atom_site_fract_y
_atom_site_fract_z
Pm1 0.000 0.000 0.000
Ga1 0.000 0.500 0.298
Ru1 0.000 0.000 0.500
Ru2 0.500 0.500 0.000
# D(E_F)	4.52	states/eV/f.u.
# theoretical density	8218	kg/m3
# ΔE_f	-0.2891	eV per atom

---

# Pm3Ga2SiRu3, optimized geometry, DFT PBE-GGA
data_Pm3Ga2SiRu3
_chemical_formula_sum 'Pm3 Ga2 Si1 Ru3'
_symmetry_space_group_name_H-M 'P -6 2 m'
_symmetry_Int_Tables_number 189
_symmetry_space_group_name_Hall 'P -6 -2'
_cell_length_a 7.5317
_cell_length_b 7.5317
_cell_length_c 3.5868
_cell_angle_alpha 90.00
_cell_angle_beta 90.00
_cell_angle_gamma 120.00
loop_
_atom_site_label
_atom_site_fract_x
_atom_site_fract_y
_atom_site_fract_z
Pm1 0.0000 0.3852 0.0000
Ga1 0.3333 0.6667 0.5000
Si1 0.0000 0.0000 0.0000
Ru1 0.0000 0.7669 0.5000
# D(E_F)	3.86	states/eV/f.u.
# raw total energy	-6.451	eV per atom
# theoretical density	8536	kg/m3